Density functional theory data (PBE) for a geometry-optimized Sr2CrN2 structure.

extended XYZ file:
```
20
Lattice="-5.979 2.045 0.542 2.299 -5.765 -1.307 0.184 -2.684 12.158" Properties=species:S:1:pos:R:3 pbc="T T T"
Sr -2.114 -3.749 10.119
Sr 1.106 -4.811 -0.205
Sr -2.966 -1.880 5.133
Sr -0.529 -4.523 6.260
Sr 1.986 -7.086 6.620
Sr -5.482 0.683 4.772
Sr -1.381 -2.654 1.273
Sr -4.602 -1.592 11.597
Cr -3.972 -0.285 2.214
Cr 0.476 -6.118 9.178
Cr -3.691 -1.804 8.251
Cr 0.196 -4.599 3.141
N 1.030 -5.646 4.223
N -1.007 -3.548 3.819
N 1.691 -7.349 9.316
N -2.488 -2.855 7.573
N -5.187 0.946 2.077
N -0.320 -5.628 10.624
N -4.525 -0.757 7.170
N -3.176 -0.775 0.769
```

Summary:
Mass density (Mg/m³): 4.47
Magnetic moment (μB/cell): 0.00
E (eV/atom): -6.50
Space-group type: Cmce (64)
Raw formation energy (meV per atom): -576

---

Density functional theory data (PBE) for a geometry-optimized SrCrN2 structure.

extended XYZ file:
```
16
Lattice="-5.747 3.838 -2.658 -2.265 -4.957 -2.259 -3.674 -2.875 3.793" Properties=species:S:1:pos:R:3 pbc="T T T"
Cr -7.460 -1.580 -3.964
Cr -4.226 -2.414 2.839
Cr -5.021 0.026 -2.230
Cr -6.665 -4.020 1.106
Sr -9.399 -1.754 -1.476
Sr -2.286 -2.240 0.352
Sr -5.536 -3.305 -1.757
Sr -6.150 -0.689 0.632
N -4.113 -1.224 -1.202
N -6.624 -0.629 -2.701
N -6.555 -5.603 0.280
N -7.573 -2.771 0.078
N -3.478 -4.883 -1.514
N -5.131 1.609 -1.405
N -8.208 0.889 0.390
N -5.062 -3.366 1.576
```

Summary:
Mass density (Mg/m³): 4.61
Magnetic moment (μB/cell): 0.00
E (eV/atom): -7.81
Space-group type: P2_1/c (14)
Raw formation energy (meV per atom): -824

---

Density functional theory data (PBE) for a geometry-optimized Sr9Cr2N8 structure.

extended XYZ file:
```
19
Lattice="10.445 -0.006 -0.016 1.317 5.070 0.000 3.096 -0.804 7.861" Properties=species:S:1:pos:R:3 pbc="T T T"
Sr 2.206 2.133 3.930
Sr 10.406 0.004 1.882
Sr 9.078 3.055 3.516
Sr 5.780 1.205 4.329
Sr 2.382 2.088 0.074
Sr 5.697 3.933 1.351
Sr 4.452 4.256 5.963
Sr 9.161 0.327 6.494
Sr 12.476 2.173 7.771
Cr 7.306 0.809 1.535
Cr 7.552 3.451 6.310
N 8.059 0.613 3.066
N 8.261 0.561 0.105
N 5.632 1.244 1.409
N 9.226 3.017 6.436
N 11.142 2.519 1.904
N 6.597 3.699 7.739
N 3.716 1.741 5.941
N 6.799 3.647 4.779
```

Summary:
Mass density (Mg/m³): 4.00
Magnetic moment (μB/cell): 0.01
E (eV/atom): -6.04
Space-group type: C2/m (12)
Raw formation energy (meV per atom): -730

---

Density functional theory data (PBE) for a geometry-optimized SrCrN2 structure.

extended XYZ file:
```
8
Lattice="-3.927 -3.357 -0.044 2.126 -2.434 -4.031 1.363 -5.580 0.777" Properties=species:S:1:pos:R:3 pbc="T T T"
N -1.344 -3.367 -0.332
N 0.675 -3.767 -2.337
N -0.827 -8.940 -2.466
N 0.619 -6.669 -1.463
Sr -1.733 -5.917 -0.652
Sr 0.000 0.000 0.000
Cr 1.294 -5.455 -2.646
Cr -0.901 -2.896 -2.038
```

Summary:
Mass density (Mg/m³): 4.63
Magnetic moment (μB/cell): 0.02
E (eV/atom): -7.61
Space-group type: I-42d (122)
Raw formation energy (meV per atom): -620

---

Density functional theory data (PBE) for a geometry-optimized Sr3Cr3N5 structure.

extended XYZ file:
```
22
Lattice="5.695 0.001 0.000 -0.670 7.153 -0.009 -1.970 -2.853 7.914" Properties=species:S:1:pos:R:3 pbc="T T T"
N 3.680 -1.410 6.198
N 4.350 1.190 1.024
N 3.168 3.725 4.118
N -0.625 5.711 1.707
N 0.851 3.133 0.613
N -1.294 3.111 6.881
N -0.113 0.576 3.787
N 2.205 1.167 7.292
N 0.290 4.957 4.876
N 2.765 -0.657 3.029
Cr 0.885 -0.948 3.383
Cr 3.070 -0.465 7.697
Cr -0.014 4.765 0.208
Cr -1.413 4.350 5.533
Cr 2.171 5.249 4.522
Cr 4.468 -0.049 2.372
Sr 1.448 3.693 6.968
Sr 2.849 4.254 1.649
Sr 0.206 0.046 6.256
Sr -0.100 3.031 3.062
Sr 3.156 1.270 4.843
Sr 1.608 0.607 0.937
```

Summary:
Mass density (Mg/m³): 5.04
Magnetic moment (μB/cell): 0.65
E (eV/atom): -7.56
Space-group type: P-1 (2)
Raw formation energy (meV per atom): -693

---

Density functional theory data (PBE) for a geometry-optimized Sr8Cr3N8 structure.

extended XYZ file:
```
19
Lattice="-7.883 -2.305 5.536 1.451 -4.269 2.868 0.428 4.352 6.263" Properties=species:S:1:pos:R:3 pbc="T T T"
Sr -4.136 1.250 8.933
Sr -4.077 -2.347 8.527
Sr -5.062 -0.265 12.125
Sr -7.256 -1.131 6.967
Sr -0.943 -1.958 2.541
Sr 1.251 -1.091 7.700
Sr -1.928 0.125 6.140
Sr -1.868 -3.472 5.733
N -4.601 -0.404 6.705
N -3.104 -1.480 4.347
N 0.027 -0.021 9.912
N -1.404 -1.818 7.962
N -6.598 -3.158 8.595
N -6.031 -2.201 4.755
N -2.900 -0.743 10.320
N 0.593 0.936 6.071
Cr -1.429 -0.863 9.396
Cr -4.575 -1.359 5.271
Cr 0.939 0.042 4.565
```

Summary:
Mass density (Mg/m³): 4.32
Magnetic moment (μB/cell): 0.11
E (eV/atom): -6.49
Space-group type: C2/m (12)
Raw formation energy (meV per atom): -762

---

Density functional theory data (PBE) for a geometry-optimized SrCr2N2 structure.

extended XYZ file:
```
5
Lattice="1.657 -2.870 0.000 1.657 2.870 0.000 0.000 0.000 6.565" Properties=species:S:1:pos:R:3 pbc="T T T"
N 1.657 0.957 1.251
N 1.657 -0.957 5.314
Cr 1.657 0.957 5.796
Cr 1.657 -0.957 0.769
Sr 0.000 0.000 3.283
```

Summary:
E above lowest polymorph (kcal/mol of atoms): 0.00
Mass density (Mg/m³): 5.84
Magnetic moment (μB/cell): 0.02
E (eV/atom): -7.92
Space-group type: P-3m1 (164)
Raw formation energy (meV per atom): -405

---

Density functional theory data (PBE) for a geometry-optimized Sr4CrN4 structure.

extended XYZ file:
```
18
Lattice="-1.282 2.203 5.184 6.506 -2.392 2.625 3.147 6.421 -1.951" Properties=species:S:1:pos:R:3 pbc="T T T"
N 0.405 1.741 0.582
N 5.283 3.042 4.453
N 5.078 4.021 1.544
N 3.781 1.376 2.347
N 3.449 7.714 2.790
N 2.603 4.027 3.372
N 8.762 3.125 2.060
N 4.128 -0.114 6.284
Sr 7.943 3.666 4.583
Sr 0.047 3.223 2.819
Sr 2.819 3.011 0.376
Sr 4.615 5.683 4.204
Sr 4.514 6.527 0.602
Sr 2.857 2.097 5.294
Sr 6.453 1.675 1.842
Sr 4.240 -0.950 3.712
Cr 0.000 0.000 0.000
Cr 4.186 3.116 2.929
```

Summary:
E above lowest polymorph (kcal/mol of atoms): 4.73
Mass density (Mg/m³): 4.80
Magnetic moment (μB/cell): 4.00
E (eV/atom): -6.06
Space-group type: P4_2/nmc (137)
Raw formation energy (meV per atom): -547